Compound: YV3F
Source: Alexandria
Functional: PBE with a Hubbard U
Structure: optimized geometry

Values from the calculation:
- calculated total energy (eV per atom) = -5.772
- total magnetization (μB per formula unit) = 8.92
- offset from the most stable computed form (eV per atom) = 0.000

Cell: 4.635 4.635 4.635 Å, 90.00 90.00 90.00°
Fractional coordinates of all 5 atoms:
Y 0.500 0.500 0.500
V 0.000 0.500 0.000
V 0.000 0.000 0.500
V 0.500 0.000 0.000
F 0.000 0.000 0.000